VASP calculation (PBE) on crystalline Ca2Tl2Hg7 at its relaxed geometry.

POSCAR file:
```
Ca2Tl2Hg7
1.0
5.122 -5.695 0.000
5.122 5.695 0.000
0.000 0.000 6.190
Ca Tl Hg
2 2 7
direct
0.199 0.199 0.000 Ca
0.801 0.801 0.000 Ca
0.264 0.736 0.500 Tl
0.736 0.264 0.500 Tl
0.000 0.000 0.500 Hg
0.000 0.500 0.237 Hg
0.000 0.500 0.763 Hg
0.500 0.000 0.237 Hg
0.500 0.000 0.763 Hg
0.500 0.500 0.236 Hg
0.500 0.500 0.764 Hg
```

electronic total energy: -1.04 eV per atom
SG: Cmmm, No. 65
magnetic moment: 0.0 μB per cell

VASP calculation (PBE) on crystalline Ca3Tl2Hg6 at its relaxed geometry.

POSCAR file:
```
Ca3Tl2Hg6
1.0
-2.324 2.324 15.588
2.324 -2.324 15.588
2.324 2.324 -15.588
Ca Tl Hg
3 2 6
direct
0.000 0.000 0.000 Ca
0.146 0.146 0.000 Ca
0.854 0.854 0.000 Ca
0.348 0.348 0.000 Tl
0.652 0.652 0.000 Tl
0.072 0.572 0.500 Hg
0.247 0.247 0.000 Hg
0.428 0.928 0.500 Hg
0.572 0.072 0.500 Hg
0.753 0.753 0.000 Hg
0.928 0.428 0.500 Hg
```

electronic total energy: -1.36 eV per atom
SG: I4/mmm, No. 139
magnetic moment: 0.0 μB per cell

VASP calculation (PBE) on crystalline Ca2Tl2Hg at its relaxed geometry.

POSCAR file:
```
Ca2Tl2Hg
1.0
8.324 0.000 0.000
0.000 8.324 0.000
0.000 0.000 4.316
Ca Tl Hg
4 4 2
direct
0.166 0.334 0.000 Ca
0.334 0.834 0.000 Ca
0.666 0.166 0.000 Ca
0.834 0.666 0.000 Ca
0.136 0.636 0.500 Tl
0.364 0.136 0.500 Tl
0.636 0.864 0.500 Tl
0.864 0.364 0.500 Tl
0.000 0.000 0.500 Hg
0.500 0.500 0.500 Hg
```

energy above the most stable polymorph in this dataset: 28 kJ/mol of formula units
electronic total energy: -2.12 eV per atom
SG: P4/mbm, No. 127
magnetic moment: 0.0 μB per cell